! TiBeNb2 | Alexandria | PBE | optimized geometry; values from VASP
&SYSTEM
  ibrav = 0, nat = 8, ntyp = 3
/
ATOMIC_SPECIES
Be 9.01 Be.upf
Nb 92.91 Nb.upf
Ti 47.87 Ti.upf
CELL_PARAMETERS angstrom
-2.920 -0.713 6.448
-0.595 -7.012 -1.045
0.589 -4.214 3.725
ATOMIC_POSITIONS angstrom
Be -1.757 -3.863 2.702
Be -0.881 -7.545 2.691
Nb -1.664 -2.354 4.636
Nb -0.678 -5.547 1.279
Nb -0.894 -6.270 4.789
Nb -2.615 -9.709 7.553
Ti 0.000 0.000 0.000
Ti -2.044 -4.395 6.438
! Size of the total moment   0.0 Bohr magnetons per cell
! Theoretical density   6.2 g/cm3
! DOS at the Fermi energy   6.10 states/eV per cell
! Calculated formation energy   0.373 eV per atom


! Pm3Ho3In | Alexandria | PBE | optimized geometry; values from VASP
&SYSTEM
  ibrav = 0, nat = 14, ntyp = 3
/
ATOMIC_SPECIES
Pm 145.00 Pm.upf
Ho 164.93 Ho.upf
In 114.82 In.upf
CELL_PARAMETERS angstrom
-1.284 1.799 5.142
0.499 -8.890 3.234
7.722 5.487 0.009
ATOMIC_POSITIONS angstrom
Pm 4.805 -0.752 2.986
Pm 3.406 2.121 1.632
Pm 6.769 2.067 2.490
Pm 2.132 -0.852 5.399
Pm 3.530 -3.725 6.754
Pm 0.167 -3.671 5.895
Ho 5.768 -0.916 6.330
Ho 0.902 2.117 4.054
Ho 6.384 4.929 4.439
Ho 1.168 -0.689 2.056
Ho 6.035 -3.722 4.332
Ho 0.553 -6.533 3.946
In 4.350 2.045 4.940
In 2.586 -3.649 3.445
! Size of the total moment   0.0 Bohr magnetons per cell
! Theoretical density   8.0 g/cm3
! DOS at the Fermi energy   19.42 states/eV per cell
! Calculated formation energy   -0.113 eV per atom


! Sm2CdHg5 | Alexandria | PBE | optimized geometry; values from VASP
&SYSTEM
  ibrav = 0, nat = 8, ntyp = 3
/
ATOMIC_SPECIES
Sm 150.36 Sm.upf
Cd 112.41 Cd.upf
Hg 200.59 Hg.upf
CELL_PARAMETERS angstrom
-2.826 3.895 -1.930
-0.920 -2.786 -4.276
-4.252 -3.420 6.288
ATOMIC_POSITIONS angstrom
Sm -4.925 -0.874 -1.516
Sm -3.073 -1.438 1.598
Cd 0.000 0.000 0.000
Hg -1.873 0.555 -3.103
Hg -6.064 -0.229 1.453
Hg -5.111 -3.569 0.281
Hg -1.934 -2.083 -1.371
Hg -2.887 1.258 -0.199
! Size of the total moment   0.0 Bohr magnetons per cell
! Theoretical density   11.7 g/cm3
! DOS at the Fermi energy   5.27 states/eV per cell
! Calculated formation energy   -0.265 eV per atom


- Look up the theoretical density of the second one.
  8.0 g/cm3